{
  "formula": "NdMgCu4",
  "functional": "GGA-PBE",
  "state": "relaxed",
  "dos_at_fermi_per_ev_cell": 3.47,
  "rho_kg_m3": 7123,
  "space_group": "F-43m, No. 216",
  "formation_enthalpy_0k_ev_per_atom": -0.194,
  "magmom_total_mub_per_cell": 0.00,
  "cell": [[0.000, 3.666, 3.666], [3.666, 0.000, 3.666], [3.666, 3.666, 0.000]],
  "species": ["Nd", "Mg", "Cu", "Cu", "Cu", "Cu"],
  "frac_coords": [[0.000, 0.000, 0.000], [0.750, 0.750, 0.750], [0.377, 0.377, 0.377], [0.377, 0.377, 0.869], [0.377, 0.869, 0.377], [0.869, 0.377, 0.377]]
}

=====

{
  "formula": "Ag2IrI",
  "functional": "GGA-PBE",
  "state": "relaxed",
  "dos_at_fermi_per_ev_cell": 4.52,
  "rho_kg_m3": 10269,
  "e_form_raw_mev_per_atom": 766,
  "de_polymorph_mev_per_atom": 0.0,
  "space_group": "I-42d, No. 122",
  "magmom_total_mub_per_cell": 0.00,
  "cell": [[-3.996, 3.996, 2.709], [3.996, -3.996, 2.709], [3.996, 3.996, -2.709]],
  "species": ["Ag", "Ag", "Ag", "Ag", "Ir", "Ir", "I", "I"],
  "frac_coords": [[0.096, 0.625, 0.971], [0.375, 0.346, 0.471], [0.654, 0.125, 0.029], [0.875, 0.904, 0.529], [0.000, 0.000, 0.000], [0.750, 0.250, 0.500], [0.250, 0.750, 0.500], [0.500, 0.500, 0.000]]
}

=====

{
  "formula": "Zr3Co2Tc",
  "functional": "GGA-PBE",
  "state": "relaxed",
  "dos_at_fermi_per_ev_cell": 3.32,
  "rho_kg_m3": 8083,
  "de_polymorph_mev_per_atom": 0.0,
  "space_group": "P4/mmm, No. 123",
  "formation_enthalpy_0k_ev_per_atom": -0.339,
  "magmom_total_mub_per_cell": 0.00,
  "cell": [[3.252, 0.000, 0.000], [0.000, 3.252, 0.000], [0.000, 0.000, 9.510]],
  "species": ["Zr", "Zr", "Zr", "Co", "Co", "Tc"],
  "frac_coords": [[0.000, 0.000, 0.000], [0.000, 0.000, 0.330], [0.000, 0.000, 0.670], [0.500, 0.500, 0.159], [0.500, 0.500, 0.841], [0.500, 0.500, 0.500]]
}

=====

{
  "formula": "Li3U3GeN8",
  "functional": "GGA-PBE",
  "state": "relaxed",
  "dos_at_fermi_per_ev_cell": 5.10,
  "rho_kg_m3": 7674,
  "e_form_raw_mev_per_atom": -724,
  "space_group": "R-3m, No. 166",
  "magmom_total_mub_per_cell": 0.00,
  "cell": [[3.403, 1.965, 4.961], [-3.403, 1.965, 4.961], [0.000, -3.929, 4.961]],
  "species": ["Li", "Li", "Li", "U", "U", "U", "Ge", "N", "N", "N", "N", "N", "N", "N", "N"],
  "frac_coords": [[0.000, 0.500, 0.500], [0.500, 0.000, 0.500], [0.500, 0.500, 0.000], [0.000, 0.000, 0.500], [0.000, 0.500, 0.000], [0.500, 0.000, 0.000], [0.500, 0.500, 0.500], [0.227, 0.737, 0.737], [0.238, 0.238, 0.238], [0.263, 0.263, 0.773], [0.263, 0.773, 0.263], [0.737, 0.227, 0.737], [0.737, 0.737, 0.227], [0.762, 0.762, 0.762], [0.773, 0.263, 0.263]]
}